Record 1
Compound: LuV2Mo
Source: the Alexandria database
Functional: PBE-GGA
Structure: optimized geometry

Properties
ρ in g cm⁻³: 8.8
Symmetry: No. 166
Energy above the most stable polymorph in this dataset in meV/atom: 228
Calculated formation energy in meV/atom: 405

abc: 3.0654 3.0654 8.8506
angles: 80.03 80.03 60.00
Element x y z (fractional)
Mo (0.0000, 0.0000, 0.0000)
Lu (0.5000, 0.5000, 0.5000)
V (0.2626, 0.2626, 0.2121)
V (0.7374, 0.7374, 0.7879)

Record 2
Compound: Mg2TePd2
Source: the Alexandria database
Functional: PBE-GGA
Structure: optimized geometry

Properties
ρ in g cm⁻³: 6.4
Symmetry: No. 139
ΔE_f (raw) in eV/atom: -0.276
Energy above the most stable polymorph in this dataset in meV/atom: 278

abc: 4.1041 4.1041 6.6679
angles: 72.08 72.08 90.00
Element x y z (fractional)
Mg (0.7500, 0.2500, 0.5000)
Mg (0.2500, 0.7500, 0.5000)
Te (0.0000, 0.0000, 0.0000)
Pd (0.3906, 0.3906, 0.2189)
Pd (0.6094, 0.6094, 0.7811)

Record 3
Compound: CaPm2N2Cl2
Source: the Alexandria database
Functional: PBE-GGA
Structure: optimized geometry

Properties
ρ in g cm⁻³: 5.1
Symmetry: No. 139
ΔE_f (raw) in eV/atom: -1.350

abc: 4.4258 4.4258 7.8361
angles: 106.40 106.40 90.00
Element x y z (fractional)
Ca (0.0000, 0.0000, 0.0000)
Pm (0.3982, 0.3982, 0.7963)
Pm (0.6018, 0.6018, 0.2037)
N (0.0000, 0.5000, 0.0000)
N (0.5000, 0.0000, 0.0000)
Cl (0.1976, 0.1976, 0.3952)
Cl (0.8024, 0.8024, 0.6048)

| no. | raw total energy (eV/f.u.) |
| --- | --- |
| 1 | -32.0 |
| 2 | -18.1 |
| 3 | -41.3 |